Computed, not measured: crystalline MnBi3O at its relaxed geometry at the PBE with a Hubbard U level of DFT.

Summary:
Its density of states at the Fermi level is 3.522 states/eV per cell. Its crystal system is cubic. As for the symmetry: Pm-3m. The value obtained for the excess energy over the best structure of this formula in the dataset is 0.000 eV/atom.

```
MnBi3O
1.0
-1.0188 4.4792 1.8873
-4.3807 -1.6816 1.6263
2.1059 -1.3311 4.2961
Mn O Bi
1 1 3
Direct
0.5000 0.5000 0.5000
0.0000 0.0000 0.0000
0.0000 0.5000 0.0000
0.0000 0.0000 0.5000
0.5000 0.0000 0.0000
```